Record 1
VASP calculation (GGA-PBEsol) on a relaxed structure of Mg3Au2.

Summary:
Its total magnetic moment is 0.000 μB/f.u. Its formation energy is -0.516 eV/atom.

```
data_Mg3Au2
_space_group_name_H-M_alt 'P -3 m 1'
_space_group_IT_number 164
_space_group_name_Hall '-P 3 2"'
_cell_length_a 4.5317
_cell_length_b 4.5317
_cell_length_c 5.5596
_cell_angle_alpha 90.00
_cell_angle_beta 90.00
_cell_angle_gamma 120.00
loop_
_atom_site_label
_atom_site_type_symbol
_atom_site_fract_x
_atom_site_fract_y
_atom_site_fract_z
_atom_site_occupancy
Mg1 Mg 0.0000 0.0000 0.0000 1
Mg2 Mg 0.3333 0.6667 0.3479 1
Au1 Au 0.3333 0.6667 0.8403 1
```



Record 2
VASP calculation (GGA-PBEsol) on a relaxed structure of Mg4Au.

Summary:
Its total magnetic moment is 0.000 μB/f.u. Its formation energy is -0.251 eV/atom.

```
data_Mg4Au
_space_group_name_H-M_alt 'I 4/m'
_space_group_IT_number 87
_space_group_name_Hall '-I 4'
_cell_length_a 7.8779
_cell_length_b 7.8779
_cell_length_c 3.2867
_cell_angle_alpha 90.00
_cell_angle_beta 90.00
_cell_angle_gamma 90.00
loop_
_atom_site_label
_atom_site_type_symbol
_atom_site_fract_x
_atom_site_fract_y
_atom_site_fract_z
_atom_site_occupancy
Mg1 Mg 0.0785 0.7252 0.0000 1
Au1 Au 0.0000 0.0000 0.5000 1
```



Record 3
VASP calculation (GGA-PBEsol) on a relaxed structure of Mg7Au.

Summary:
Its total magnetic moment is 0.000 μB/f.u. Its formation energy is -0.116 eV/atom.

```
data_Mg7Au
_space_group_name_H-M_alt 'F m -3 m'
_space_group_IT_number 225
_space_group_name_Hall '-F 4 2 3'
_cell_length_a 8.7050
_cell_length_b 8.7050
_cell_length_c 8.7050
_cell_angle_alpha 90.00
_cell_angle_beta 90.00
_cell_angle_gamma 90.00
loop_
_atom_site_label
_atom_site_type_symbol
_atom_site_fract_x
_atom_site_fract_y
_atom_site_fract_z
_atom_site_occupancy
Mg1 Mg 0.0000 0.0000 0.0000 1
Mg2 Mg 0.0000 0.2500 0.2500 1
Au1 Au 0.0000 0.0000 0.5000 1
```



Record 4
VASP calculation (GGA-PBEsol) on a relaxed structure of Mg5Au.

Summary:
Its total magnetic moment is 0.000 μB/f.u. Its formation energy is -0.207 eV/atom.

```
data_Mg5Au
_space_group_name_H-M_alt 'C m m m'
_space_group_IT_number 65
_space_group_name_Hall '-C 2 2'
_cell_length_a 4.2003
_cell_length_b 13.0183
_cell_length_c 4.3720
_cell_angle_alpha 90.00
_cell_angle_beta 90.00
_cell_angle_gamma 90.00
loop_
_atom_site_label
_atom_site_type_symbol
_atom_site_fract_x
_atom_site_fract_y
_atom_site_fract_z
_atom_site_occupancy
Mg1 Mg 0.0000 0.0000 0.0000 1
Mg2 Mg 0.0000 0.1555 0.5000 1
Mg3 Mg 0.0000 0.3383 0.0000 1
Au1 Au 0.0000 0.5000 0.5000 1
```



Record 5
VASP calculation (GGA-PBEsol) on a relaxed structure of Mg5Au4.

Summary:
Its total magnetic moment is 0.000 μB/f.u. Its formation energy is -0.522 eV/atom.

```
data_Mg5Au4
_space_group_name_H-M_alt 'P 63/m c m'
_space_group_IT_number 193
_space_group_name_Hall '-P 6c 2'
_cell_length_a 8.1201
_cell_length_b 8.1201
_cell_length_c 5.6789
_cell_angle_alpha 90.00
_cell_angle_beta 90.00
_cell_angle_gamma 120.00
loop_
_atom_site_label
_atom_site_type_symbol
_atom_site_fract_x
_atom_site_fract_y
_atom_site_fract_z
_atom_site_occupancy
Mg1 Mg 0.0000 0.2903 0.2500 1
Mg2 Mg 0.3333 0.6667 0.0000 1
Au1 Au 0.0000 0.0000 0.0000 1
Au2 Au 0.0000 0.3793 0.7500 1
```



Record 6
VASP calculation (GGA-PBEsol) on a relaxed structure of MgAu3.

Summary:
Its total magnetic moment is 0.000 μB/f.u. Its formation energy is -0.410 eV/atom.

```
data_MgAu3
_space_group_name_H-M_alt 'P 63/m m c'
_space_group_IT_number 194
_space_group_name_Hall '-P 6c 2c'
_cell_length_a 5.7209
_cell_length_b 5.7209
_cell_length_c 4.7632
_cell_angle_alpha 90.00
_cell_angle_beta 90.00
_cell_angle_gamma 120.00
loop_
_atom_site_label
_atom_site_type_symbol
_atom_site_fract_x
_atom_site_fract_y
_atom_site_fract_z
_atom_site_occupancy
Mg1 Mg 0.3333 0.6667 0.2500 1
Au1 Au 0.1674 0.3349 0.7500 1
```



Record 7
VASP calculation (GGA-PBEsol) on a relaxed structure of Mg3Au13.

Summary:
Its total magnetic moment is 0.000 μB/f.u. Its formation energy is -0.314 eV/atom.

```
data_Mg3Au13
_space_group_name_H-M_alt 'P 4 m m'
_space_group_IT_number 99
_cell_length_a 4.0488
_cell_length_b 4.0488
_cell_length_c 16.4664
_cell_angle_alpha 90.00
_cell_angle_beta 90.00
_cell_angle_gamma 90.00
loop_
_space_group_symop_operation_xyz
'x,y,z'
'-y,x,z'
'-x,-y,z'
'y,-x,z'
'-x,y,z'
'y,x,z'
'x,-y,z'
'-y,-x,z'
loop_
_atom_site_label
_atom_site_type_symbol
_atom_site_fract_x
_atom_site_fract_y
_atom_site_fract_z
_atom_site_occupancy
Mg1 Mg 0.0000 0.0000 0.0000 1
Mg2 Mg 0.0000 0.0000 0.2541 1
Mg3 Mg 0.5000 0.5000 0.7533 1
Au1 Au 0.0000 0.0000 0.5052 1
Au2 Au 0.0000 0.0000 0.7521 1
Au3 Au 0.0000 0.5000 0.1278 1
Au4 Au 0.0000 0.5000 0.3748 1
Au5 Au 0.0000 0.5000 0.6297 1
Au6 Au 0.0000 0.5000 0.8777 1
Au7 Au 0.5000 0.5000 0.0052 1
Au8 Au 0.5000 0.5000 0.2512 1
Au9 Au 0.5000 0.5000 0.4990 1
```



Record 8
VASP calculation (GGA-PBEsol) on a relaxed structure of Mg5Au.

Summary:
Its total magnetic moment is 0.000 μB/f.u. Its formation energy is -0.196 eV/atom.

```
data_Mg5Au
_space_group_name_H-M_alt 'R 3 2'
_space_group_IT_number 155
_space_group_name_Hall 'R 3 2"'
_cell_length_a 5.2905
_cell_length_b 5.2905
_cell_length_c 14.7130
_cell_angle_alpha 90.00
_cell_angle_beta 90.00
_cell_angle_gamma 120.00
loop_
_atom_site_label
_atom_site_type_symbol
_atom_site_fract_x
_atom_site_fract_y
_atom_site_fract_z
_atom_site_occupancy
Mg1 Mg 0.0000 0.0000 0.1639 1
Mg2 Mg 0.0000 0.6534 0.0000 1
Au1 Au 0.0000 0.0000 0.5000 1
```



Record 9
VASP calculation (GGA-PBEsol) on a relaxed structure of MgAu3.

Summary:
Its total magnetic moment is 0.000 μB/f.u. Its formation energy is 0.895 eV/atom.

```
data_MgAu3
_space_group_name_H-M_alt 'P m -3 m'
_space_group_IT_number 221
_space_group_name_Hall '-P 4 2 3'
_cell_length_a 4.9456
_cell_length_b 4.9456
_cell_length_c 4.9456
_cell_angle_alpha 90.00
_cell_angle_beta 90.00
_cell_angle_gamma 90.00
loop_
_atom_site_label
_atom_site_type_symbol
_atom_site_fract_x
_atom_site_fract_y
_atom_site_fract_z
_atom_site_occupancy
Mg1 Mg 0.0000 0.0000 0.0000 1
Au1 Au 0.0000 0.0000 0.5000 1
```



Record 10
VASP calculation (GGA-PBEsol) on a relaxed structure of MgAu3.

Summary:
Its total magnetic moment is 0.000 μB/f.u. Its formation energy is -0.402 eV/atom.

```
data_MgAu3
_space_group_name_H-M_alt 'P m -3 m'
_space_group_IT_number 221
_space_group_name_Hall '-P 4 2 3'
_cell_length_a 4.0700
_cell_length_b 4.0700
_cell_length_c 4.0700
_cell_angle_alpha 90.00
_cell_angle_beta 90.00
_cell_angle_gamma 90.00
loop_
_atom_site_label
_atom_site_type_symbol
_atom_site_fract_x
_atom_site_fract_y
_atom_site_fract_z
_atom_site_occupancy
Mg1 Mg 0.0000 0.0000 0.0000 1
Au1 Au 0.0000 0.5000 0.5000 1
```



Record 11
VASP calculation (GGA-PBEsol) on a relaxed structure of Mg5Au.

Summary:
Its total magnetic moment is 0.000 μB/f.u. Its formation energy is -0.201 eV/atom.

```
data_Mg5Au
_space_group_name_H-M_alt 'C 1 2/m 1'
_space_group_IT_number 12
_cell_length_a 10.5902
_cell_length_b 3.5262
_cell_length_c 6.9163
_cell_angle_alpha 90.00
_cell_angle_beta 109.19
_cell_angle_gamma 90.00
loop_
_space_group_symop_operation_xyz
'x,y,z'
'-x,-y,-z'
'-x,y,-z'
'x,-y,z'
'x+1/2,y+1/2,z'
'-x+1/2,-y+1/2,-z'
'-x+1/2,y+1/2,-z'
'x+1/2,-y+1/2,z'
loop_
_atom_site_label
_atom_site_type_symbol
_atom_site_fract_x
_atom_site_fract_y
_atom_site_fract_z
_atom_site_occupancy
Mg1 Mg 0.0000 0.0000 0.0000 1
Mg2 Mg 0.1489 0.5000 0.3496 1
Mg3 Mg 0.1635 0.5000 0.8084 1
Au1 Au 0.0000 0.0000 0.5000 1
```



Record 12
VASP calculation (GGA-PBEsol) on a relaxed structure of MgAu3.

Summary:
Its total magnetic moment is 0.000 μB/f.u. Its formation energy is -0.302 eV/atom.

```
data_MgAu3
_space_group_name_H-M_alt 'P m -3 n'
_space_group_IT_number 223
_space_group_name_Hall '-P 4n 2 3'
_cell_length_a 5.1976
_cell_length_b 5.1976
_cell_length_c 5.1976
_cell_angle_alpha 90.00
_cell_angle_beta 90.00
_cell_angle_gamma 90.00
loop_
_atom_site_label
_atom_site_type_symbol
_atom_site_fract_x
_atom_site_fract_y
_atom_site_fract_z
_atom_site_occupancy
Mg1 Mg 0.0000 0.0000 0.0000 1
Au1 Au 0.0000 0.2500 0.5000 1
```



Record 13
VASP calculation (GGA-PBEsol) on a relaxed structure of Mg5Au.

Summary:
Its total magnetic moment is 0.000 μB/f.u. Its formation energy is -0.197 eV/atom.

```
data_Mg5Au
_space_group_name_H-M_alt 'P 4/m m m'
_space_group_IT_number 123
_space_group_name_Hall '-P 4 2'
_cell_length_a 3.2747
_cell_length_b 3.2747
_cell_length_c 11.6594
_cell_angle_alpha 90.00
_cell_angle_beta 90.00
_cell_angle_gamma 90.00
loop_
_atom_site_label
_atom_site_type_symbol
_atom_site_fract_x
_atom_site_fract_y
_atom_site_fract_z
_atom_site_occupancy
Mg1 Mg 0.0000 0.0000 0.0000 1
Mg2 Mg 0.0000 0.0000 0.3657 1
Mg3 Mg 0.5000 0.5000 0.1807 1
Au1 Au 0.5000 0.5000 0.5000 1
```